Computed, not measured: crystalline Tm2InP at its relaxed geometry at the PBE-GGA level of DFT.

The structure in extended XYZ format:
```
4
Lattice="1.919 1.108 7.882 -1.919 1.108 7.882 0.000 -2.216 7.882" Properties=species:S:1:pos:R:3 pbc="T T T"
Tm 0.000 0.000 5.533
Tm 0.000 0.000 18.115
In 0.000 0.000 0.000
P 0.000 0.000 11.824
```

Properties
Calculated formation energy, kJ/mol of atoms: -93.6
Uncorrected energy, eV per atom: -5.24
Calculated volume, Å³ per cell: 100.54